## MgTeN2F (meta-GGA SCAN)

Data for a crystal of MgTeN2F relaxed with PBEsol.

Geometry as extended XYZ:
```
5
Lattice="3.8590 0.0000 0.0000 0.0000 3.8590 0.0000 0.0000 0.0000 5.8724" Properties=species:S:1:pos:R:3 pbc="T T T"
Mg 0.0000 0.0000 0.0000
Te 0.0000 0.0000 2.9362
N 0.0000 1.9295 0.0000
N 1.9295 0.0000 0.0000
F 1.9295 1.9295 2.9362
```

Calculated values
Its density of states at the Fermi level is 1.75 states/eV/f.u. The calculation puts the uncorrected formation energy at 1.00 eV/atom. The value obtained for the polymorph energy (0 for the lowest one) is 3.584 eV per formula unit. The calculation puts the theoretical density at 3.8 g/cm3. The symmetry is P4/mmm, No. 123.

***

## Na2MgPO4F (meta-GGA SCAN)

Data for a crystal of Na2MgPO4F relaxed with PBEsol.

Geometry as extended XYZ:
```
72
Lattice="5.2161 0.0000 0.0000 0.0000 13.7270 0.0000 0.0000 0.0000 11.6815" Properties=species:S:1:pos:R:3 pbc="T T T"
Na 1.2486 3.3771 2.0012
Na 1.2486 10.3498 7.8419
Na 1.2703 5.1766 10.7374
Na 1.2703 8.5503 4.8966
Na 1.3377 1.6869 4.8966
Na 1.3377 12.0401 10.7374
Na 1.3595 3.4863 7.8419
Na 1.3595 10.2406 2.0012
Na 3.8566 3.4863 9.6803
Na 3.8566 10.2406 3.8395
Na 3.8784 1.6869 0.9441
Na 3.8784 12.0401 6.7848
Na 3.9458 5.1766 6.7848
Na 3.9458 8.5503 0.9441
Na 3.9675 3.3771 3.8395
Na 3.9675 10.3498 9.6803
Mg 1.1549 6.6828 7.9019
Mg 1.1549 7.0442 2.0612
Mg 1.4531 0.1807 2.0612
Mg 1.4531 13.5463 7.9019
Mg 3.7630 0.1807 3.7795
Mg 3.7630 13.5463 9.6203
Mg 4.0612 6.6828 9.6203
Mg 4.0612 7.0442 3.7795
P 1.0809 1.6184 10.6568
P 1.0809 12.1085 4.8161
P 1.5271 5.2450 4.8161
P 1.5271 8.4819 10.6568
P 3.6890 5.2450 1.0247
P 3.6890 8.4819 6.8654
P 4.1352 1.6184 6.8654
P 4.1352 12.1085 1.0247
O 0.4510 1.3988 7.0955
O 0.4510 12.3281 1.2548
O 0.7650 6.3701 4.0558
O 0.7650 7.3568 9.8966
O 1.0968 3.8666 4.2999
O 1.0968 9.8603 10.1407
O 1.2225 5.3670 6.3319
O 1.2225 8.3600 0.4912
O 1.3855 1.4965 0.4912
O 1.3855 12.2305 6.3319
O 1.5112 2.9968 10.1407
O 1.5112 10.7301 4.2999
O 1.8430 0.4934 9.8966
O 1.8430 13.2336 4.0558
O 2.1571 5.4646 1.2548
O 2.1571 8.2623 7.0955
O 3.0590 5.4646 4.5859
O 3.0590 8.2623 10.4267
O 3.3731 0.4934 7.6256
O 3.3731 13.2336 1.7849
O 3.7049 2.9968 7.3816
O 3.7049 10.7301 1.5408
O 3.8306 1.4965 5.3496
O 3.8306 12.2305 11.1903
O 3.9936 5.3670 11.1903
O 3.9936 8.3600 5.3496
O 4.1193 3.8666 1.5408
O 4.1193 9.8603 7.3816
O 4.4511 6.3701 1.7849
O 4.4511 7.3568 7.6256
O 4.7651 1.3988 10.4267
O 4.7651 12.3281 4.5859
F 0.0000 1.2273 2.9204
F 0.0000 5.1731 8.7611
F 0.0000 8.5538 2.9204
F 0.0000 12.4996 8.7611
F 2.6081 1.6904 2.9204
F 2.6081 5.6362 8.7611
F 2.6081 8.0908 2.9204
F 2.6081 12.0366 8.7611
```

Calculated values
Its density of states at the Fermi level is 0.00 states/eV/f.u. The calculation puts the uncorrected formation energy at -2.83 eV/atom. The calculation puts the theoretical density at 2.9 g/cm3. The symmetry is Pbcn, No. 60.

***

## MgNbF2 (meta-GGA SCAN)

Data for a crystal of MgNbF2 relaxed with PBEsol.

Geometry as extended XYZ:
```
4
Lattice="1.5000 0.8660 6.7718 -1.5000 0.8660 6.7718 0.0000 -1.7321 6.7718" Properties=species:S:1:pos:R:3 pbc="T T T"
Mg 0.0000 0.0000 0.0000
Nb 0.0000 0.0000 10.1578
F 0.0000 0.0000 7.7301
F 0.0000 0.0000 12.5854
```

Calculated values
Its density of states at the Fermi level is 2.30 states/eV/f.u. The calculation puts the uncorrected formation energy at -2.10 eV/atom. The calculation puts the theoretical density at 4.9 g/cm3. The symmetry is R-3m, No. 166.

***

## Mg3NbF (meta-GGA SCAN)

Data for a crystal of Mg3NbF relaxed with PBEsol.

Geometry as extended XYZ:
```
5
Lattice="4.4041 0.0000 0.0000 0.0000 4.4041 0.0000 0.0000 0.0000 4.4041" Properties=species:S:1:pos:R:3 pbc="T T T"
Mg 0.0000 0.0000 2.2020
Mg 0.0000 2.2020 0.0000
Mg 2.2020 0.0000 0.0000
Nb 2.2020 2.2020 2.2020
F 0.0000 0.0000 0.0000
```

Calculated values
Its density of states at the Fermi level is 1.24 states/eV/f.u. The calculation puts the uncorrected formation energy at -0.62 eV/atom. The calculation puts the theoretical density at 3.6 g/cm3. The symmetry is Pm-3m, No. 221.

***

## MgNbPdF2 (meta-GGA SCAN)

Data for a crystal of MgNbPdF2 relaxed with PBEsol.

Geometry as extended XYZ:
```
5
Lattice="4.0543 0.0000 0.0000 0.0000 4.0543 0.0000 0.0000 0.0000 5.1404" Properties=species:S:1:pos:R:3 pbc="T T T"
Mg 0.0000 0.0000 0.0000
Nb 2.0272 2.0272 2.5702
Pd 2.0272 2.0272 0.0000
F 0.0000 2.0272 2.5702
F 2.0272 0.0000 2.5702
```

Calculated values
Its density of states at the Fermi level is 3.26 states/eV/f.u. The calculation puts the uncorrected formation energy at -1.31 eV/atom. The calculation puts the theoretical density at 5.1 g/cm3. The symmetry is P4/mmm, No. 123.

***

## MgNiF5 (meta-GGA SCAN)

Data for a crystal of MgNiF5 relaxed with PBEsol.

Geometry as extended XYZ:
```
28
Lattice="4.9380 0.0000 0.0000 0.0000 9.3653 0.0000 -2.4828 0.0000 6.7261" Properties=species:S:1:pos:R:3 pbc="T T T"
Mg -0.4662 0.1488 1.6908
Mg -1.7076 4.5338 5.0539
Mg 4.1628 4.8315 1.6722
Mg 2.9214 9.2165 5.0353
Ni 0.4177 2.2945 4.0927
Ni 1.6591 2.3881 0.7297
Ni 0.7961 6.9772 5.9965
Ni 2.0375 7.0708 2.6334
F -1.0052 1.1149 3.8119
F 0.2362 3.5678 0.4488
F 0.7069 0.9924 0.0112
F -0.5345 3.6903 3.3743
F 0.5858 5.9991 2.3839
F -0.6556 8.0489 5.7470
F 0.8915 1.6882 2.3472
F -0.3499 2.9945 5.7103
F -0.0700 5.5864 5.2562
F 1.1714 8.4616 1.8931
F 1.2838 0.9037 4.8330
F 2.5252 3.7789 1.4699
F 2.8051 6.3708 1.0158
F 1.5637 7.6771 4.3789
F 3.1108 1.3165 0.9791
F 1.8694 3.3662 4.3422
F 2.9897 5.6750 3.3518
F 1.7483 8.3729 6.7149
F 2.2190 5.7975 6.2773
F 3.4604 8.2504 2.9143
```

Calculated values
Its density of states at the Fermi level is 0.48 states/eV/f.u. The calculation puts the uncorrected formation energy at -2.69 eV/atom. The calculation puts the theoretical density at 3.8 g/cm3. The symmetry is P2_1/c, No. 14.